a | PaBiRu2 | PBE | relaxed

Calculated volume ... 318.9 Å³/cell

```
data_PaBiRu2
_chemical_formula_sum 'Pa4 Bi4 Ru8'
_space_group_name_H-M_alt 'F m -3 m'
_space_group_IT_number 225
_space_group_name_Hall '-F 4 2 3'
_cell_length_a 6.832
_cell_length_b 6.832
_cell_length_c 6.832
_cell_angle_alpha 90.00
_cell_angle_beta 90.00
_cell_angle_gamma 90.00
loop_
_atom_site_label
_atom_site_type_symbol
_atom_site_fract_x
_atom_site_fract_y
_atom_site_fract_z
Pa1 Pa 0.000 0.000 0.000
Bi1 Bi 0.000 0.000 0.500
Ru1 Ru 0.250 0.250 0.250
```

***

b | PaBiRu2 | PBE | relaxed

Calculated volume ... 328.3 Å³/cell

```
data_PaBiRu2
_chemical_formula_sum 'Pa3 Bi3 Ru6'
_space_group_name_H-M_alt 'R -3 m'
_space_group_IT_number 166
_space_group_name_Hall '-R 3 2"'
_cell_length_a 4.4444
_cell_length_b 4.4444
_cell_length_c 19.1946
_cell_angle_alpha 90.00
_cell_angle_beta 90.00
_cell_angle_gamma 120.00
loop_
_atom_site_label
_atom_site_type_symbol
_atom_site_fract_x
_atom_site_fract_y
_atom_site_fract_z
Pa1 Pa 0.0000 0.0000 0.0000
Bi1 Bi 0.0000 0.0000 0.5000
Ru1 Ru 0.0000 0.0000 0.3646
```

***

a ends up most stable, edging out the next structure by 133 meV per atom.

***

a | PaBiRu2 | PBE | relaxed

Calculated volume ... 82.5 Å³/cell

```
data_PaBiRu2
_chemical_formula_sum 'Pa1 Bi1 Ru2'
_space_group_name_H-M_alt 'P 4/m m m'
_space_group_IT_number 123
_space_group_name_Hall '-P 4 2'
_cell_length_a 3.473
_cell_length_b 3.473
_cell_length_c 6.840
_cell_angle_alpha 90.00
_cell_angle_beta 90.00
_cell_angle_gamma 90.00
loop_
_atom_site_label
_atom_site_type_symbol
_atom_site_fract_x
_atom_site_fract_y
_atom_site_fract_z
Pa1 Pa 0.000 0.000 0.000
Bi1 Bi 0.000 0.000 0.500
Ru1 Ru 0.500 0.500 0.209
```

***

b | PaBiRu2 | PBE | relaxed

Calculated volume ... 78.5 Å³/cell

```
data_PaBiRu2
_chemical_formula_sum 'Pa1 Bi1 Ru2'
_space_group_name_H-M_alt 'P 4/m m m'
_space_group_IT_number 123
_space_group_name_Hall '-P 4 2'
_cell_length_a 4.535
_cell_length_b 4.535
_cell_length_c 3.819
_cell_angle_alpha 90.00
_cell_angle_beta 90.00
_cell_angle_gamma 90.00
loop_
_atom_site_label
_atom_site_type_symbol
_atom_site_fract_x
_atom_site_fract_y
_atom_site_fract_z
Pa1 Pa 0.000 0.000 0.000
Bi1 Bi 0.500 0.500 0.000
Ru1 Ru 0.000 0.500 0.500
```

***

b ends up most stable, edging out the next structure by 28 meV per atom.

***

a | PaBi2Ru | PBE | relaxed

Calculated volume ... 393.0 Å³/cell

```
data_PaBi2Ru
_chemical_formula_sum 'Pa4 Bi8 Ru4'
_space_group_name_H-M_alt 'I 4/m m m'
_space_group_IT_number 139
_space_group_name_Hall '-I 4 2'
_cell_length_a 4.561
_cell_length_b 4.561
_cell_length_c 18.890
_cell_angle_alpha 90.00
_cell_angle_beta 90.00
_cell_angle_gamma 90.00
loop_
_atom_site_label
_atom_site_type_symbol
_atom_site_fract_x
_atom_site_fract_y
_atom_site_fract_z
Pa1 Pa 0.000 0.000 0.147
Bi1 Bi 0.000 0.000 0.343
Bi2 Bi 0.000 0.500 0.000
Ru1 Ru 0.000 0.500 0.250
```

***

b | PaBi2Ru | PBE | relaxed

Calculated volume ... 302.3 Å³/cell

```
data_PaBi2Ru
_chemical_formula_sum 'Pa3 Bi6 Ru3'
_space_group_name_H-M_alt 'R -3 m'
_space_group_IT_number 166
_space_group_name_Hall '-R 3 2"'
_cell_length_a 3.2788
_cell_length_b 3.2788
_cell_length_c 32.4704
_cell_angle_alpha 90.00
_cell_angle_beta 90.00
_cell_angle_gamma 120.00
loop_
_atom_site_label
_atom_site_type_symbol
_atom_site_fract_x
_atom_site_fract_y
_atom_site_fract_z
Pa1 Pa 0.0000 0.0000 0.0000
Bi1 Bi 0.0000 0.0000 0.4193
Ru1 Ru 0.0000 0.0000 0.5000
```

***

a ends up most stable, edging out the next structure by 795 meV per atom.

***

a | PaBiSb | PBE | relaxed

Calculated volume ... 165.8 Å³/cell

```
data_PaBiSb
_chemical_formula_sum 'Pa2 Bi2 Sb2'
_space_group_name_H-M_alt 'I 4 m m'
_space_group_IT_number 107
_space_group_name_Hall 'I 4 -2'
_cell_length_a 4.028
_cell_length_b 4.028
_cell_length_c 10.221
_cell_angle_alpha 90.00
_cell_angle_beta 90.00
_cell_angle_gamma 90.00
loop_
_atom_site_label
_atom_site_type_symbol
_atom_site_fract_x
_atom_site_fract_y
_atom_site_fract_z
Pa1 Pa 0.000 0.000 0.000
Bi1 Bi 0.000 0.000 0.334
Sb1 Sb 0.000 0.000 0.649
```

***

b | PaBiSb | PBE | relaxed

Calculated volume ... 351.1 Å³/cell

```
data_PaBiSb
_chemical_formula_sum 'Pa4 Bi4 Sb4'
_space_group_name_H-M_alt 'P n m a'
_space_group_IT_number 62
_cell_length_a 7.640
_cell_length_b 4.351
_cell_length_c 10.561
_cell_angle_alpha 90.00
_cell_angle_beta 90.00
_cell_angle_gamma 90.00
loop_
_space_group_symop_operation_xyz
'x,y,z'
'-x,-y,-z'
'-x+1/2,-y,z+1/2'
'x+1/2,y,-z+1/2'
'x+1/2,-y+1/2,-z+1/2'
'-x+1/2,y+1/2,z+1/2'
'-x,y+1/2,-z'
'x,-y+1/2,z'
loop_
_atom_site_label
_atom_site_type_symbol
_atom_site_fract_x
_atom_site_fract_y
_atom_site_fract_z
Pa1 Pa 0.207 0.250 0.150
Bi1 Bi 0.132 0.250 0.449
Sb1 Sb 0.087 0.250 0.820
```

***

c | PaBiSb | PBE | relaxed

Calculated volume ... 83.2 Å³/cell

```
data_PaBiSb
_chemical_formula_sum 'Pa1 Bi1 Sb1'
_space_group_name_H-M_alt 'P -6 m 2'
_space_group_IT_number 187
_space_group_name_Hall 'P -6 2'
_cell_length_a 5.5148
_cell_length_b 5.5148
_cell_length_c 3.1604
_cell_angle_alpha 90.00
_cell_angle_beta 90.00
_cell_angle_gamma 120.00
loop_
_atom_site_label
_atom_site_type_symbol
_atom_site_fract_x
_atom_site_fract_y
_atom_site_fract_z
Pa1 Pa 0.0000 0.0000 0.0000
Bi1 Bi 0.6667 0.3333 0.5000
Sb1 Sb 0.3333 0.6667 0.5000
```

***

b ends up most stable, edging out the next structure by 43 meV per atom.

***

a | Pa2BiSb | PBE | relaxed

Calculated volume ... 365.9 Å³/cell

```
data_Pa2BiSb
_chemical_formula_sum 'Pa6 Bi3 Sb3'
_space_group_name_H-M_alt 'R 3 m'
_space_group_IT_number 160
_space_group_name_Hall 'R 3 -2"'
_cell_length_a 4.1719
_cell_length_b 4.1719
_cell_length_c 24.2746
_cell_angle_alpha 90.00
_cell_angle_beta 90.00
_cell_angle_gamma 120.00
loop_
_atom_site_label
_atom_site_type_symbol
_atom_site_fract_x
_atom_site_fract_y
_atom_site_fract_z
Pa1 Pa 0.0000 0.0000 0.0000
Pa2 Pa 0.0000 0.0000 0.1760
Bi1 Bi 0.0000 0.0000 0.4206
Sb1 Sb 0.0000 0.0000 0.5885
```

***

b | Pa2BiSb | PBE | relaxed

Calculated volume ... 107.8 Å³/cell

```
data_Pa2BiSb
_chemical_formula_sum 'Pa2 Bi1 Sb1'
_space_group_name_H-M_alt 'P 4/m m m'
_space_group_IT_number 123
_space_group_name_Hall '-P 4 2'
_cell_length_a 3.773
_cell_length_b 3.773
_cell_length_c 7.569
_cell_angle_alpha 90.00
_cell_angle_beta 90.00
_cell_angle_gamma 90.00
loop_
_atom_site_label
_atom_site_type_symbol
_atom_site_fract_x
_atom_site_fract_y
_atom_site_fract_z
Pa1 Pa 0.000 0.000 0.242
Bi1 Bi 0.500 0.500 0.500
Sb1 Sb 0.500 0.500 0.000
```

***

b ends up most stable, edging out the next structure by 88 meV per atom.

***

a | Pa2BiSb | PBE | relaxed

Calculated volume ... 241.5 Å³/cell

```
data_Pa2BiSb
_chemical_formula_sum 'Pa4 Bi2 Sb2'
_space_group_name_H-M_alt 'P 63/m m c'
_space_group_IT_number 194
_space_group_name_Hall '-P 6c 2c'
_cell_length_a 4.0948
_cell_length_b 4.0948
_cell_length_c 16.6322
_cell_angle_alpha 90.00
_cell_angle_beta 90.00
_cell_angle_gamma 120.00
loop_
_atom_site_label
_atom_site_type_symbol
_atom_site_fract_x
_atom_site_fract_y
_atom_site_fract_z
Pa1 Pa 0.3333 0.6667 0.1187
Bi1 Bi 0.0000 0.0000 0.2500
Sb1 Sb 0.0000 0.0000 0.0000
```

***

b | Pa2BiSb | PBE | relaxed

Calculated volume ... 365.2 Å³/cell

```
data_Pa2BiSb
_chemical_formula_sum 'Pa6 Bi3 Sb3'
_space_group_name_H-M_alt 'R -3 m'
_space_group_IT_number 166
_space_group_name_Hall '-R 3 2"'
_cell_length_a 4.4111
_cell_length_b 4.4111
_cell_length_c 21.6728
_cell_angle_alpha 90.00
_cell_angle_beta 90.00
_cell_angle_gamma 120.00
loop_
_atom_site_label
_atom_site_type_symbol
_atom_site_fract_x
_atom_site_fract_y
_atom_site_fract_z
Pa1 Pa 0.0000 0.0000 0.2457
Bi1 Bi 0.0000 0.0000 0.0000
Sb1 Sb 0.0000 0.0000 0.5000
```

***

b ends up most stable, edging out the next structure by 71 meV per atom.